(1)
Here is a geometry-optimized Sr2HgPIr structure from the Alexandria database. Energies are from PBE-GGA.

Lattice parameters (Å, degrees): 5.931 5.931 4.427 90.00 90.00 90.00
Space group P4/mmm (No. 123)
Symmetry-distinct sites (fractional):
Sr 0.000 0.500 0.000 (multiplicity 2)
Hg 0.000 0.000 0.500 (multiplicity 1)
P 0.500 0.500 0.500 (multiplicity 1)
Ir 0.500 0.500 0.000 (multiplicity 1)

Results
Energy above the lowest structure with this stoichiometry, meV/atom: 5.8
Energy relative to the elements, eV per atom: -0.532

(2)
Here is a geometry-optimized Hg2PIrW structure from the Alexandria database. Energies are from PBE-GGA.

Lattice parameters (Å, degrees): 4.788 4.788 4.512 90.00 90.00 90.00
Space group P4/mmm (No. 123)
Symmetry-distinct sites (fractional):
Hg 0.000 0.500 0.000 (multiplicity 2)
P 0.000 0.000 0.000 (multiplicity 1)
Ir 0.500 0.500 0.500 (multiplicity 1)
W 0.000 0.000 0.500 (multiplicity 1)

Results
Energy relative to the elements, eV per atom: 1.443

(3)
Here is a geometry-optimized Pa2HgIr2 structure from the Alexandria database. Energies are from PBE-GGA.

Lattice parameters (Å, degrees): 7.768 7.768 3.569 90.00 90.00 90.00
Space group P4/mbm (No. 127)
Symmetry-distinct sites (fractional):
Pa 0.168 0.332 0.000 (multiplicity 4)
Hg 0.000 0.000 0.500 (multiplicity 2)
Ir 0.133 0.633 0.500 (multiplicity 4)

Results
Energy relative to the elements, eV per atom: -0.692